The following is a DFT calculation (GGA-PBE) of a relaxed YHoNi2I2 crystal.

Values from the calculation:
E = -5.101 eV per atom
Spin magnetization = 0.20 μB/cell

a b c (Å): 4.071 4.071 11.867
angles (deg): 90.00 90.00 120.00
Atoms (fractional coordinates):
Ho 0.000 0.000 0.851
I 0.667 0.333 0.330
I 0.333 0.667 0.671
Ni 0.333 0.667 0.005
Ni 0.667 0.333 0.992
Y 0.000 0.000 0.150

The following is a DFT calculation (GGA-PBE) of a relaxed HoNpI6 crystal.

Values from the calculation:
E = -4.485 eV per atom
Spin magnetization = 4.00 μB/cell

a b c (Å): 7.799 7.799 7.872
angles (deg): 99.24 99.24 120.06
Atoms (fractional coordinates):
Ho 0.834 0.166 0.000
I 0.584 0.933 0.236
I 0.926 0.569 0.237
I 0.216 0.225 0.240
I 0.775 0.784 0.760
I 0.431 0.074 0.763
I 0.067 0.416 0.764
Np 0.167 0.833 0.000

The following is a DFT calculation (GGA-PBE) of a relaxed HoI3O9 crystal.

Values from the calculation:
E = -5.121 eV per atom
Spin magnetization = 0.01 μB/cell

a b c (Å): 8.605 5.854 14.763
angles (deg): 90.00 97.13 90.00
Atoms (fractional coordinates):
Ho 0.959 0.778 0.102
Ho 0.541 0.278 0.398
Ho 0.459 0.722 0.602
Ho 0.041 0.222 0.898
I 0.662 0.155 0.024
I 0.226 0.312 0.149
I 0.620 0.598 0.201
I 0.880 0.098 0.299
I 0.274 0.812 0.351
I 0.838 0.655 0.476
I 0.162 0.345 0.524
I 0.726 0.188 0.649
I 0.120 0.902 0.701
I 0.380 0.402 0.799
I 0.774 0.688 0.851
I 0.338 0.845 0.976
O 0.139 0.886 0.010
O 0.144 0.391 0.033
O 0.414 0.076 0.059
O 0.451 0.589 0.110
O 0.724 0.968 0.123
O 0.775 0.500 0.135
O 0.075 0.103 0.174
O 0.137 0.562 0.197
O 0.586 0.309 0.242
O 0.914 0.809 0.258
O 0.363 0.062 0.303
O 0.425 0.603 0.326
O 0.725 0.000 0.365
O 0.776 0.468 0.377
O 0.049 0.089 0.390
O 0.086 0.576 0.441
O 0.356 0.891 0.467
O 0.361 0.386 0.490
O 0.639 0.614 0.510
O 0.644 0.109 0.533
O 0.914 0.424 0.559
O 0.951 0.911 0.610
O 0.224 0.532 0.623
O 0.275 0.000 0.635
O 0.575 0.397 0.674
O 0.637 0.938 0.697
O 0.086 0.191 0.742
O 0.414 0.691 0.758
O 0.863 0.438 0.803
O 0.925 0.897 0.826
O 0.225 0.500 0.865
O 0.276 0.032 0.877
O 0.549 0.411 0.890
O 0.586 0.924 0.941
O 0.856 0.609 0.967
O 0.861 0.114 0.990

The following is a DFT calculation (GGA-PBE) of a relaxed HoScI2O2 crystal.

Values from the calculation:
E = -6.614 eV per atom
Spin magnetization = 0.01 μB/cell

a b c (Å): 10.013 10.013 7.449
angles (deg): 95.58 95.58 22.82
Atoms (fractional coordinates):
Ho 0.694 0.694 0.109
Ho 0.306 0.306 0.891
I 0.900 0.900 0.154
I 0.581 0.581 0.356
I 0.419 0.419 0.644
I 0.100 0.100 0.846
O 0.246 0.246 0.135
O 0.757 0.757 0.387
O 0.243 0.243 0.613
O 0.754 0.754 0.865
Sc 0.298 0.298 0.390
Sc 0.702 0.702 0.610